Run w
A relaxed ZrTiP2O crystal, computed with PBE.

Geometry as CIF:
```
data_ZrTiP2O
_chemical_formula_sum 'Zr1 Ti1 P2 O1'
_cell_length_a 4.7893
_cell_length_b 4.7893
_cell_length_c 3.6776
_cell_angle_alpha 90.00
_cell_angle_beta 90.00
_cell_angle_gamma 90.00
_space_group_name_H-M_alt 'P 4/m m m'
_space_group_IT_number 123
_space_group_name_Hall '-P 4 2'
loop_
_atom_site_label
_atom_site_type_symbol
_atom_site_fract_x
_atom_site_fract_y
_atom_site_fract_z
_atom_site_occupancy
Zr1 Zr 0.0000 0.0000 0.0000 1
Ti1 Ti 0.5000 0.5000 0.5000 1
P1 P 0.0000 0.5000 0.5000 1
O1 O 0.5000 0.5000 0.0000 1
```

Run x
A relaxed ZrTiP2O crystal, computed with PBE.

Geometry as CIF:
```
data_ZrTiP2O
_chemical_formula_sum 'Zr1 Ti1 P2 O1'
_cell_length_a 5.0658
_cell_length_b 5.0658
_cell_length_c 3.9290
_cell_angle_alpha 90.00
_cell_angle_beta 90.00
_cell_angle_gamma 90.00
_space_group_name_H-M_alt 'P 4/m m m'
_space_group_IT_number 123
_space_group_name_Hall '-P 4 2'
loop_
_atom_site_label
_atom_site_type_symbol
_atom_site_fract_x
_atom_site_fract_y
_atom_site_fract_z
_atom_site_occupancy
Zr1 Zr 0.0000 0.0000 0.0000 1
Ti1 Ti 0.5000 0.5000 0.5000 1
P1 P 0.0000 0.5000 0.0000 1
O1 O 0.0000 0.0000 0.5000 1
```

The most stable arrangement is run w, and the next structure is 519 meV per atom less stable.

Run w
A relaxed TlP2O2 crystal, computed with PBE.

Geometry as CIF:
```
data_TlP2O2
_chemical_formula_sum 'Tl1 P2 O2'
_cell_length_a 3.7397
_cell_length_b 3.7397
_cell_length_c 6.2846
_cell_angle_alpha 90.00
_cell_angle_beta 90.00
_cell_angle_gamma 90.00
_space_group_name_H-M_alt 'P 4/m m m'
_space_group_IT_number 123
_space_group_name_Hall '-P 4 2'
loop_
_atom_site_label
_atom_site_type_symbol
_atom_site_fract_x
_atom_site_fract_y
_atom_site_fract_z
_atom_site_occupancy
Tl1 Tl 0.0000 0.0000 0.0000 1
P1 P 0.0000 0.5000 0.5000 1
O1 O 0.5000 0.5000 0.0000 1
O2 O 0.5000 0.5000 0.5000 1
```

Run x
A relaxed TlP2O2 crystal, computed with PBE.

Geometry as CIF:
```
data_TlP2O2
_chemical_formula_sum 'Tl1 P2 O2'
_cell_length_a 3.6990
_cell_length_b 3.6990
_cell_length_c 4.7771
_cell_angle_alpha 90.00
_cell_angle_beta 90.00
_cell_angle_gamma 90.00
_space_group_name_H-M_alt 'P 4/m m m'
_space_group_IT_number 123
_space_group_name_Hall '-P 4 2'
loop_
_atom_site_label
_atom_site_type_symbol
_atom_site_fract_x
_atom_site_fract_y
_atom_site_fract_z
_atom_site_occupancy
Tl1 Tl 0.0000 0.0000 0.0000 1
P1 P 0.5000 0.5000 0.0000 1
P2 P 0.5000 0.5000 0.5000 1
O1 O 0.0000 0.5000 0.5000 1
```

The most stable arrangement is run x, and the next structure is 778 meV per atom less stable.

Run w
A relaxed TlP2O2 crystal, computed with PBE.

Geometry as CIF:
```
data_TlP2O2
_chemical_formula_sum 'Tl1 P2 O2'
_cell_length_a 3.9596
_cell_length_b 3.9596
_cell_length_c 6.7833
_cell_angle_alpha 90.00
_cell_angle_beta 90.00
_cell_angle_gamma 90.00
_space_group_name_H-M_alt 'P 4/m m m'
_space_group_IT_number 123
_space_group_name_Hall '-P 4 2'
loop_
_atom_site_label
_atom_site_type_symbol
_atom_site_fract_x
_atom_site_fract_y
_atom_site_fract_z
_atom_site_occupancy
Tl1 Tl 0.0000 0.0000 0.0000 1
P1 P 0.0000 0.0000 0.5000 1
P2 P 0.5000 0.5000 0.5000 1
O1 O 0.0000 0.5000 0.0000 1
```

Run x
A relaxed TlP2O2 crystal, computed with PBE.

Geometry as CIF:
```
data_TlP2O2
_chemical_formula_sum 'Tl1 P2 O2'
_cell_length_a 5.1576
_cell_length_b 5.1576
_cell_length_c 4.0783
_cell_angle_alpha 90.00
_cell_angle_beta 90.00
_cell_angle_gamma 90.00
_space_group_name_H-M_alt 'P 4/m m m'
_space_group_IT_number 123
_space_group_name_Hall '-P 4 2'
loop_
_atom_site_label
_atom_site_type_symbol
_atom_site_fract_x
_atom_site_fract_y
_atom_site_fract_z
_atom_site_occupancy
Tl1 Tl 0.0000 0.0000 0.0000 1
P1 P 0.0000 0.5000 0.0000 1
O1 O 0.0000 0.0000 0.5000 1
O2 O 0.5000 0.5000 0.5000 1
```

The most stable arrangement is run w, and the next structure is 757 meV per atom less stable.

Run w
A relaxed TlP2O crystal, computed with PBE.

Geometry as CIF:
```
data_TlP2O
_chemical_formula_sum 'Tl4 P8 O4'
_cell_length_a 4.8967
_cell_length_b 4.8967
_cell_length_c 12.9766
_cell_angle_alpha 90.00
_cell_angle_beta 90.00
_cell_angle_gamma 90.00
_space_group_name_H-M_alt 'I -4 2 d'
_space_group_IT_number 122
_space_group_name_Hall 'I -4 2bw'
loop_
_atom_site_label
_atom_site_type_symbol
_atom_site_fract_x
_atom_site_fract_y
_atom_site_fract_z
_atom_site_occupancy
Tl1 Tl 0.0000 0.0000 0.0000 1
P1 P 0.0573 0.2500 0.6250 1
O1 O 0.0000 0.0000 0.5000 1
```

Run x
A relaxed TlP2O crystal, computed with PBE.

Geometry as CIF:
```
data_TlP2O
_chemical_formula_sum 'Tl4 P8 O4'
_cell_length_a 6.3836
_cell_length_b 6.3836
_cell_length_c 6.3836
_cell_angle_alpha 90.00
_cell_angle_beta 90.00
_cell_angle_gamma 90.00
_space_group_name_H-M_alt 'F m -3 m'
_space_group_IT_number 225
_space_group_name_Hall '-F 4 2 3'
loop_
_atom_site_label
_atom_site_type_symbol
_atom_site_fract_x
_atom_site_fract_y
_atom_site_fract_z
_atom_site_occupancy
Tl1 Tl 0.0000 0.0000 0.0000 1
P1 P 0.2500 0.2500 0.2500 1
O1 O 0.0000 0.0000 0.5000 1
```

The most stable arrangement is run w, and the next structure is 804 meV per atom less stable.